An optimized crystal structure of Re2W2C, computed with PBE.

The energy of formation comes out at 1.585 eV per atom. The calculated density comes out at 15.41 g cm⁻³. The value obtained for the energy relative to the lowest polymorph listed for this composition is 0 meV per atom. For the total energy, the calculation gives -10.4202 eV/atom.

The structure belongs to space group P4/mbm (No. 127); the cell edges are 7.414, 7.414 and 2.950 Å and the angles 90.00°, 90.00° and 90.00°. Symmetry generates all atoms from Re at (0.147, 0.353, 0.000), W at (0.149, 0.649, 0.500) and C at (0.000, 0.000, 0.000).